Computed, not measured: a relaxed AgSnSb crystal at the PBE-GGA level of DFT.

```
AgSnSb
1.0
-0.1692 -2.8993 -1.1126
2.7184 -0.6770 1.3507
-5.1879 -0.5551 6.5823
Sn Ag Sb
1 1 1
Cartesian
-1.0758 -0.6442 1.8422
-0.8345 -3.0510 3.7308
-2.1932 -3.8646 6.0573
```

Values from the calculation:
E_form (uncorrected), eV/f.u.: 0.39
Calculated density, Mg/m³: 7.38
Relative energy among the computed polymorphs, meV per atom: 80
SG: I4mm, No. 107